[1]
# RbAuO

A relaxed RbAuO crystal (PBE, Alexandria).

Lattice parameters (Å, degrees): 5.520 6.094 5.958 90.00 117.60 90.00
Fractional positions:
1 Rb 0.693 0.250 0.387
2 Rb 0.307 0.750 0.613
3 O 0.871 0.750 0.741
4 O 0.129 0.250 0.259
5 Au 0.000 0.000 0.000
6 Au 0.000 0.500 0.000

Computed properties:
- formation energy from raw total energies (meV per atom) = -812.3
- total magnetization (μB per cell) = 0.0

[2]
# ZnCr

A relaxed ZnCr crystal (PBE, Alexandria).

Lattice parameters (Å, degrees): 4.084 4.084 4.966 90.00 90.00 120.00
Fractional positions:
1 Cr 0.667 0.333 0.750
2 Cr 0.333 0.667 0.250
3 Zn 0.000 0.000 0.000
4 Zn 0.000 0.000 0.500

Computed properties:
- total magnetization (μB per cell) = 8.1
- calculated formation energy (meV per atom) = 738

[3]
# Sr2BeZnO

A relaxed Sr2BeZnO crystal (PBE, Alexandria).

Lattice parameters (Å, degrees): 6.153 3.175 6.153 90.00 90.00 90.00
Fractional positions:
1 Sr 0.500 0.000 0.000
2 Sr 0.000 0.000 0.500
3 O 0.000 0.500 0.000
4 Be 0.000 0.000 0.000
5 Zn 0.500 0.500 0.500

Computed properties:
- formation energy from raw total energies (meV per atom) = -406.9
- total magnetization (μB per cell) = 0.0

Q: Which value of total magnetization does entry 1 give?
A: 0.0 μB per cell

Q: Number 2 is which compound?
A: ZnCr